Entry P
A plane-wave DFT calculation with PBE was carried out for AcTb4Nd5 after structural relaxation.

Cell: 4.2471 4.2471 19.3951 Å, 90.00 90.00 90.00°
Positions (direct):
Ac (0.0000, 0.0000, 0.0000)
Tb (0.0000, 0.0000, 0.2111)
Tb (0.0000, 0.0000, 0.4038)
Tb (0.0000, 0.0000, 0.5962)
Tb (0.0000, 0.0000, 0.7889)
Nd (0.5000, 0.5000, 0.1196)
Nd (0.5000, 0.5000, 0.3068)
Nd (0.5000, 0.5000, 0.5000)
Nd (0.5000, 0.5000, 0.6932)
Nd (0.5000, 0.5000, 0.8804)

Summary:
- calculated density (g/cm³) = 7.52
- size of the total moment (μB/atom) = 0.000


Entry Q
A plane-wave DFT calculation with PBE was carried out for AcTb4Nd5 after structural relaxation.

Cell: 3.6241 11.1530 9.1494 Å, 83.42 101.42 90.00°
Positions (direct):
Ac (0.5000, 0.0000, 0.0000)
Tb (0.3060, 0.8878, 0.6121)
Tb (0.9525, 0.7552, 0.9050)
Tb (0.6940, 0.1122, 0.3879)
Tb (0.0475, 0.2448, 0.0950)
Nd (0.8067, 0.5989, 0.6133)
Nd (0.8625, 0.2589, 0.7251)
Nd (0.1375, 0.7411, 0.2749)
Nd (0.5000, 0.5000, 0.0000)
Nd (0.1933, 0.4011, 0.3867)

Summary:
- calculated density (g/cm³) = 7.31
- size of the total moment (μB/atom) = 0.000


entry P is the most stable structure; the next one sits 6.0 kJ/mol of atoms above it.


Entry P
A plane-wave DFT calculation with PBE was carried out for Ac2TbNd2 after structural relaxation.

Cell: 4.9552 4.9552 9.0777 Å, 105.84 105.84 90.00°
Positions (direct):
Ac (0.7500, 0.2500, 0.5000)
Ac (0.2500, 0.7500, 0.5000)
Tb (0.0000, 0.0000, 0.0000)
Nd (0.4091, 0.4091, 0.8183)
Nd (0.5909, 0.5909, 0.1817)

Summary:
- calculated density (g/cm³) = 7.28
- size of the total moment (μB/atom) = 0.000


Entry Q
A plane-wave DFT calculation with PBE was carried out for Ac2TbNd2 after structural relaxation.

Cell: 6.6740 6.6740 10.2853 Å, 99.86 101.80 114.90°
Positions (direct):
Ac (0.3483, 0.3014, 0.1513)
Ac (0.1501, 0.6970, 0.3487)
Ac (0.6517, 0.6986, 0.8487)
Ac (0.8499, 0.3030, 0.6513)
Tb (0.7500, 0.0000, 0.2500)
Tb (0.2500, 0.0000, 0.7500)
Nd (0.7755, 0.2764, 0.9999)
Nd (0.2765, 0.2756, 0.5001)
Nd (0.2245, 0.7236, 0.0001)
Nd (0.7235, 0.7244, 0.4999)

Summary:
- calculated density (g/cm³) = 7.69
- size of the total moment (μB/atom) = 0.000


entry Q is the most stable structure; the next one sits 23.6 kJ/mol of atoms above it.


Entry P
A plane-wave DFT calculation with PBE was carried out for AcTbNd4 after structural relaxation.

Cell: 9.4326 6.0581 10.7424 Å, 89.85 104.85 130.40°
Positions (direct):
Ac (0.4469, 0.1969, 0.8937)
Ac (0.5531, 0.8031, 0.1063)
Tb (0.9503, 0.7003, 0.9006)
Tb (0.0497, 0.2997, 0.0994)
Nd (0.4540, 0.7037, 0.4187)
Nd (0.6427, 0.8930, 0.7708)
Nd (0.0353, 0.7850, 0.5813)
Nd (0.8719, 0.6222, 0.2292)
Nd (0.5460, 0.2963, 0.5813)
Nd (0.9647, 0.2150, 0.4187)
Nd (0.3573, 0.1070, 0.2292)
Nd (0.1281, 0.3778, 0.7708)

Summary:
- calculated density (g/cm³) = 7.26
- size of the total moment (μB/atom) = 0.000


Entry Q
A plane-wave DFT calculation with PBE was carried out for AcTbNd4 after structural relaxation.

Cell: 6.9669 6.9669 11.8353 Å, 90.00 90.00 117.79°
Positions (direct):
Ac (0.0002, 0.0002, 0.7500)
Ac (0.9998, 0.9998, 0.2500)
Tb (0.5003, 0.5003, 0.7500)
Tb (0.4997, 0.4997, 0.2500)
Nd (0.4995, 0.9993, 0.2500)
Nd (0.5005, 0.0007, 0.7500)
Nd (0.9993, 0.4995, 0.2500)
Nd (0.0007, 0.5005, 0.7500)
Nd (0.7397, 0.7397, 0.5000)
Nd (0.2603, 0.2603, 0.0000)
Nd (0.7397, 0.7397, 0.0000)
Nd (0.2603, 0.2603, 0.5000)

Summary:
- calculated density (g/cm³) = 6.29
- size of the total moment (μB/atom) = 0.000


entry P is the most stable structure; the next one sits 33.2 kJ/mol of atoms above it.


Entry P
A plane-wave DFT calculation with PBE was carried out for AcTb3Nd4 after structural relaxation.

Cell: 3.7806 5.9932 13.0116 Å, 103.31 98.35 90.00°
Positions (direct):
Nd (0.6410, 0.6408, 0.2817)
Nd (0.3590, 0.3592, 0.7183)
Nd (0.8855, 0.8858, 0.7716)
Nd (0.1145, 0.1142, 0.2284)
Ac (0.0000, 0.5000, 0.0000)
Tb (0.5000, 0.0000, 0.0000)
Tb (0.7345, 0.2345, 0.4690)
Tb (0.2655, 0.7655, 0.5310)

Summary:
- calculated density (g/cm³) = 7.50
- size of the total moment (μB/atom) = 0.000


Entry Q
A plane-wave DFT calculation with PBE was carried out for AcTb3Nd4 after structural relaxation.

Cell: 6.4213 7.4499 11.8388 Å, 90.00 90.00 90.00°
Positions (direct):
Ac (0.1427, 0.1254, 0.0000)
Ac (0.6427, 0.8746, 0.5000)
Tb (0.6478, 0.8728, 0.0000)
Tb (0.9826, 0.8752, 0.2514)
Tb (0.4826, 0.1248, 0.2486)
Tb (0.1478, 0.1272, 0.5000)
Tb (0.4826, 0.1248, 0.7514)
Tb (0.9826, 0.8752, 0.7486)
Nd (0.1457, 0.6286, 0.0000)
Nd (0.6527, 0.3773, 0.0000)
Nd (0.9806, 0.3762, 0.2546)
Nd (0.4806, 0.6238, 0.2454)
Nd (0.1527, 0.6227, 0.5000)
Nd (0.6457, 0.3714, 0.5000)
Nd (0.4806, 0.6238, 0.7546)
Nd (0.9806, 0.3762, 0.7454)

Summary:
- calculated density (g/cm³) = 7.51
- size of the total moment (μB/atom) = 0.000


entry Q is the most stable structure; the next one sits 4.5 kJ/mol of atoms above it.


Entry P
A plane-wave DFT calculation with PBE was carried out for AcTbNd2 after structural relaxation.

Cell: 3.7443 3.7443 12.3162 Å, 81.26 81.26 60.00°
Positions (direct):
Ac (0.4999, 0.4999, 0.5002)
Tb (0.6666, 0.6666, 0.0003)
Nd (0.0796, 0.0796, 0.7613)
Nd (0.2539, 0.2539, 0.2383)

Summary:
- calculated density (g/cm³) = 7.61
- size of the total moment (μB/atom) = 0.000


Entry Q
A plane-wave DFT calculation with PBE was carried out for AcTbNd2 after structural relaxation.

Cell: 3.6565 3.6565 13.0053 Å, 81.92 81.92 60.00°
Positions (direct):
Nd (0.0869, 0.0869, 0.7393)
Nd (0.9131, 0.9131, 0.2607)
Ac (0.5000, 0.5000, 0.5000)
Tb (0.0000, 0.0000, 0.0000)

Summary:
- calculated density (g/cm³) = 7.54
- size of the total moment (μB/atom) = 0.000


Entry R
A plane-wave DFT calculation with PBE was carried out for AcTbNd2 after structural relaxation.

Cell: 5.9353 5.9353 5.9353 Å, 60.00 60.00 60.00°
Last column: magnetic moment on the atom in μB.
Positions (direct):
Nd (0.2500, 0.2500, 0.2500)  0.14
Nd (0.7500, 0.7500, 0.7500)  0.14
Ac (0.5000, 0.5000, 0.5000)  0.09
Tb (0.0000, 0.0000, 0.0000)  0.21

Summary:
- calculated density (g/cm³) = 7.57
- size of the total moment (μB/atom) = 0.282


Entry S
A plane-wave DFT calculation with PBE was carried out for AcTbNd2 after structural relaxation.

Cell: 5.3070 5.3031 6.4245 Å, 65.62 65.60 90.00°
Positions (direct):
Ac (0.2501, 0.7501, 0.4999)
Tb (0.5000, 0.5000, 0.0000)
Nd (0.0000, 0.0000, 0.0000)
Nd (0.7499, 0.2499, 0.5001)

Summary:
- calculated density (g/cm³) = 7.63
- size of the total moment (μB/atom) = 0.000


entry S is the most stable structure; the next one sits 0.5 kJ/mol of atoms above it.


Entry P
A plane-wave DFT calculation with PBE was carried out for AcTb4Nd after structural relaxation.

Cell: 10.9483 9.6448 10.2927 Å, 143.21 134.80 67.94°
Positions (direct):
Ac (0.7451, 0.7449, 0.1178)
Ac (0.2549, 0.2551, 0.8822)
Tb (0.9139, 0.2552, 0.3735)
Tb (0.5837, 0.2476, 0.3733)
Tb (0.9163, 0.2511, 0.8793)
Tb (0.5862, 0.2432, 0.8717)
Tb (0.0861, 0.7448, 0.6265)
Tb (0.4163, 0.7524, 0.6267)
Tb (0.0837, 0.7489, 0.1207)
Tb (0.4138, 0.7568, 0.1283)
Nd (0.2448, 0.2458, 0.3682)
Nd (0.7552, 0.7542, 0.6318)

Summary:
- calculated density (g/cm³) = 8.08
- size of the total moment (μB/atom) = 0.000


Entry Q
A plane-wave DFT calculation with PBE was carried out for AcTb4Nd after structural relaxation.

Cell: 6.7385 6.7385 6.7385 Å, 60.00 60.00 60.00°
Last column: magnetic moment on the atom in μB.
Positions (direct):
Nd (0.0000, 0.0000, 0.0000)  0.22
Ac (0.2500, 0.2500, 0.2500)  0.13
Tb (0.6259, 0.6259, 0.1223)  0.11
Tb (0.6259, 0.1223, 0.6259)  0.11
Tb (0.6259, 0.6259, 0.6259)  0.11
Tb (0.1223, 0.6259, 0.6259)  0.11

Summary:
- calculated density (g/cm³) = 7.73
- size of the total moment (μB/atom) = 0.273


entry P is the most stable structure; the next one sits 22.1 kJ/mol of atoms above it.